[1]
VASP calculation (GGA-PBE) on a geometry-optimized LiMg2Re structure.

Summary:
The value obtained for the spin magnetization is 0.00 μB per formula unit. As for the density: 6.1 g/cm³. The calculation puts the formation energy at 0.507 eV/atom. The value obtained for the excess energy over the best structure of this formula in the dataset is 0.326 eV/atom. The final energy is -3.88 eV per atom.

abc: 3.963 3.963 8.439
angles: 90.00 90.00 90.00
Space group I-4m2 (No. 119)
Asymmetric unit:
1 Li 0.000 0.000 0.000
2 Mg 0.000 0.000 0.500
3 Mg 0.000 0.500 0.750
4 Re 0.000 0.500 0.250



[2]
VASP calculation (GGA-PBE) on a geometry-optimized SnRhIO2 structure.

Summary:
The value obtained for the spin magnetization is 1.40 μB per formula unit. As for the density: 6.7 g/cm³. The value obtained for the excess energy over the best structure of this formula in the dataset is 0.215 eV/atom. The final energy is -4.51 eV per atom. The raw formation energy comes out at 0.05 eV/atom.

abc: 4.230 4.230 5.252
angles: 90.00 90.00 90.00
Space group P4/mmm (No. 123)
Asymmetric unit:
1 Sn 0.000 0.000 0.000
2 Rh 0.500 0.500 0.500
3 I 0.500 0.500 0.000
4 O 0.000 0.500 0.500



[3]
VASP calculation (GGA-PBE) on a geometry-optimized TiTlH structure.

Summary:
The value obtained for the spin magnetization is 0.00 μB per formula unit. As for the density: 9.7 g/cm³. The value obtained for the excess energy over the best structure of this formula in the dataset is 0.000 eV/atom. The final energy is -4.71 eV per atom.

abc: 3.2390 3.2390 4.7797
angles: 90.00 90.00 120.00
Space group P-6m2 (No. 187)
Asymmetric unit:
1 Ti 0.0000 0.0000 0.0000
2 Tl 0.3333 0.6667 0.5000
3 H 0.6667 0.3333 0.0000



Among the records above, which one has the highest spin magnetization? SnRhIO2



Which formula does entry 2 have? SnRhIO2